The following is a DFT calculation (PBE with a Hubbard U) of crystalline Li2MnCrF6 at its relaxed geometry.

Properties
total energy	-57.40	eV/cell

Geometry as CIF:
```
data_Li2MnCrF6
_cell_length_a 5.238
_cell_length_b 5.311
_cell_length_c 5.568
_cell_angle_alpha 64.30
_cell_angle_beta 89.93
_cell_angle_gamma 61.66
_symmetry_space_group_name_H-M 'P 1'
_symmetry_Int_Tables_number 1
loop_
_symmetry_equiv_pos_as_xyz
'x,y,z'
loop_
_atom_site_label
_atom_site_fract_x
_atom_site_fract_y
_atom_site_fract_z
_atom_site_occupancy
Li1 0.000 0.000 0.000 1
Li2 0.477 0.987 0.501 1
Mn1 0.266 0.441 0.859 1
Cr1 0.765 0.436 0.359 1
F1 0.018 0.590 0.135 1
F2 0.191 0.918 0.695 1
F3 0.336 0.978 0.168 1
F4 0.540 0.258 0.618 1
F5 0.684 0.256 0.132 1
F6 0.854 0.569 0.631 1
```